VASP calculation (PBE) on a relaxed PaH2Pd8 crystal.

a = 6.4091 Å, b = 6.4091 Å, c = 4.4052 Å
α = 97.96°, β = 97.96°, γ = 68.79°
Fractional positions:
Pa 0.0000 0.0000 0.0000
H 0.2632 0.2632 0.7075
H 0.7368 0.7368 0.2925
Pd 0.0571 0.6800 0.3974
Pd 0.2548 0.2548 0.1421
Pd 0.3200 0.9429 0.6026
Pd 0.4294 0.4294 0.7278
Pd 0.5706 0.5706 0.2722
Pd 0.6800 0.0571 0.3974
Pd 0.7452 0.7452 0.8579
Pd 0.9429 0.3200 0.6026


VASP calculation (PBE) on a relaxed PmDy9Y2 crystal.

Output
* E above lowest polymorph: 0.000 eV per atom
* E_form: 22 meV per atom

a = 5.0317 Å, b = 5.0317 Å, c = 15.0952 Å
α = 90.00°, β = 90.00°, γ = 90.00°
Fractional positions:
Pm 0.0000 0.0000 0.0000
Dy 0.0000 0.5000 0.1675
Dy 0.0000 0.5000 0.5000
Dy 0.0000 0.5000 0.8325
Dy 0.5000 0.0000 0.1675
Dy 0.5000 0.0000 0.5000
Dy 0.5000 0.0000 0.8325
Dy 0.5000 0.5000 0.0000
Dy 0.5000 0.5000 0.3342
Dy 0.5000 0.5000 0.6658
Y 0.0000 0.0000 0.3338
Y 0.0000 0.0000 0.6662


VASP calculation (PBE) on a relaxed Rb2YAgW crystal.

Output
* E_form: 2051 meV per atom

a = 7.2946 Å, b = 7.2946 Å, c = 5.4247 Å
α = 90.00°, β = 90.00°, γ = 90.00°
Fractional positions:
Rb 0.0000 0.5000 0.0000
Rb 0.5000 0.0000 0.0000
Y 0.0000 0.0000 0.0000
Ag 0.0000 0.0000 0.5000
W 0.5000 0.5000 0.5000


VASP calculation (PBE) on a relaxed AlCr2Br crystal.

Output
* E above lowest polymorph: 0.457 eV per atom
* E_form (uncorrected): 643.8 meV/atom

a = 5.6670 Å, b = 5.6670 Å, c = 5.6670 Å
α = 140.21°, β = 140.21°, γ = 57.53°
Fractional positions:
Al 0.0000 0.0000 0.0000
Cr 0.5000 0.5000 0.0000
Cr 0.7500 0.2500 0.5000
Br 0.2500 0.7500 0.5000


Number 1: uncorrected energy -60.34 eV/f.u., total moment 0.0 μB per formula unit. Number 2: uncorrected energy -58.83 eV/f.u., total moment 0.0 μB per formula unit. Number 3: uncorrected energy -13.95 eV/f.u., total moment 4.8 μB per formula unit. Number 4: uncorrected energy -22.09 eV/f.u., total moment 7.9 μB per formula unit.